ZnCoSi2: relaxed, GGA-PBE.

a b c (Å): 2.674 2.674 7.297
angles (deg): 90.00 90.00 90.00
Space group P4/mmm (No. 123)
Asymmetric unit:
Zn: 0.000 0.000 0.000 x1
Co: 0.000 0.000 0.500 x1
Si: 0.500 0.500 0.294 x2

Calculated values
- ΔE_f (raw) (meV/atom) = -43
- total DFT energy (no corrections) (eV/cell) = -19.40
- total magnetization (μB per atom) = 0.01


ZnCoSi2: relaxed, GGA-PBE.

a b c (Å): 3.666 3.666 7.494
angles (deg): 90.00 90.00 90.00
Space group I-4m2 (No. 119)
Asymmetric unit:
Zn: 0.000 0.000 0.000 x2
Co: 0.000 0.500 0.750 x2
Si: 0.000 0.000 0.500 x2
Si: 0.000 0.500 0.250 x2

Calculated values
- ΔE_f (raw) (meV/atom) = 123
- total DFT energy (no corrections) (eV/cell) = -37.47
- total magnetization (μB per atom) = 0.00


ZnCoSi2: relaxed, GGA-PBE.

a b c (Å): 4.237 4.237 2.905
angles (deg): 90.00 90.00 90.00
Space group P4/mmm (No. 123)
Asymmetric unit:
Zn: 0.000 0.000 0.000 x1
Co: 0.500 0.500 0.000 x1
Si: 0.000 0.500 0.500 x2

Calculated values
- ΔE_f (raw) (meV/atom) = 243
- total DFT energy (no corrections) (eV/cell) = -18.26
- total magnetization (μB per atom) = 0.10